1.
Pm12Ho7Tm PBE-GGA optimized geometry; ΔE_f = 0.28 eV per atom; Fermi-level density of states = 23.51 states/eV/cell; crystal system = trigonal; calculated total energy = -88.0 eV per cell; size of the total moment = 0.0 μB/f.u.
1.0
-2.055 -7.914 3.249
7.370 0.736 4.749
-4.940 4.373 5.821
Pm Ho Tm
12 7 1
Cartesian
-3.210 -3.293 7.801
0.373 1.230 5.182
-1.567 -0.548 9.387
0.481 2.100 8.796
1.942 -2.257 4.432
3.382 -3.706 7.539
-3.008 0.901 6.279
-1.930 -1.861 4.617
-0.107 -4.904 5.022
0.001 -4.034 8.636
2.304 -0.943 9.201
3.584 0.488 6.017
-0.989 -2.369 1.672
0.187 -1.402 6.909
1.364 -0.436 12.146
-1.925 -2.490 11.818
-1.145 1.441 2.449
2.300 -0.314 2.000
1.519 -4.246 11.369
0.000 0.000 0.000


2.
Dy4HoEr2Sc PBE-GGA optimized geometry; ΔE_f = 0.03 eV per atom; Fermi-level density of states = 11.79 states/eV/cell; crystal system = tetragonal; calculated total energy = -38.2 eV per cell; size of the total moment = 0.0 μB/f.u.
1.0
-1.040 -4.372 2.072
4.161 -1.890 -1.899
9.078 0.788 6.222
Dy Er Sc Ho
4 2 1 1
Cartesian
7.306 -2.080 5.191
3.332 -0.262 1.120
8.866 -5.211 5.276
4.892 -3.394 1.205
9.078 0.788 6.222
4.019 -1.792 4.147
6.619 -0.551 2.162
1.560 -3.131 0.087


3.
YBeB3 PBE-GGA optimized geometry; ΔE_f = 0.70 eV per atom; Fermi-level density of states = 1.48 states/eV/cell; crystal system = cubic; calculated total energy = -26.7 eV per cell; size of the total moment = 0.0 μB/f.u.
1.0
-3.513 1.461 -0.316
-1.349 -3.445 -0.940
-0.645 -0.753 3.686
Y B Be
1 3 1
Cartesian
-2.753 -1.369 1.215
-0.322 -0.377 1.843
-0.674 -1.723 -0.470
-1.756 0.731 -0.158
0.000 0.000 0.000


4.
TlReHg2 PBE-GGA optimized geometry; ΔE_f = 0.75 eV per atom; Fermi-level density of states = 3.15 states/eV/cell; crystal system = trigonal; calculated total energy = -12.4 eV per cell; size of the total moment = 0.6 μB/f.u.
1.0
10.236 -0.202 -0.118
9.821 2.892 -0.118
9.821 1.317 2.578
Tl Re Hg
1 1 2
Cartesian
22.408 3.005 1.756
7.469 1.002 0.585
15.186 2.037 1.190
29.631 3.974 2.322


5.
LiLaSb2 PBE-GGA optimized geometry; energy relative to the elements, uncorrected = -3.01 eV per formula unit; Fermi-level density of states = 1.83 states/eV/cell; crystal system = monoclinic; calculated total energy = -18.1 eV per cell; size of the total moment = 0.0 μB/f.u.
1.0
8.201 0.007 0.014
-2.917 3.966 -0.004
2.367 1.759 3.300
La Li Sb
1 1 2
Cartesian
-0.275 2.863 1.648
2.642 1.987 0.005
0.000 0.000 0.000
5.284 0.883 1.657


6.
LiAc2B3Pt12 PBE-GGA optimized geometry; ΔE_f = -0.50 eV per atom; Fermi-level density of states = 4.44 states/eV/cell; crystal system = trigonal; calculated total energy = -111.6 eV per cell; size of the total moment = 0.0 μB/f.u.
1.0
7.415 -0.310 -0.220
3.392 6.600 -0.220
3.392 1.975 6.302
Pt B Li Ac
12 3 1 2
Cartesian
7.609 1.698 4.098
7.609 4.429 0.248
8.727 7.513 5.329
10.842 6.311 1.898
5.234 5.778 4.098
10.842 3.878 5.329
3.357 4.387 0.534
6.590 6.567 1.764
6.590 3.836 5.615
5.473 0.753 0.534
3.357 1.954 3.964
8.965 2.487 1.764
1.696 3.300 -0.110
3.707 -0.155 -0.110
1.696 0.987 3.151
0.000 0.000 0.000
5.482 3.191 2.263
8.718 5.074 3.599


7.
Tb2Dy2Y4Er PBE-GGA optimized geometry; ΔE_f = 0.00 eV per atom; Fermi-level density of states = 12.39 states/eV/cell; crystal system = monoclinic; calculated total energy = -48.9 eV per cell; size of the total moment = 0.0 μB/f.u.
1.0
3.588 0.000 0.000
-1.794 9.306 -0.494
0.000 -3.681 8.786
Er Y Tb Dy
1 4 2 2
Cartesian
0.000 0.000 0.000
1.794 -0.878 2.913
0.000 6.504 5.380
0.000 2.225 2.740
1.794 3.400 5.553
1.794 5.317 2.579
0.000 0.308 5.714
0.000 6.207 -0.320
1.794 -0.582 8.613


8.
Pr3Dy4S8 PBE-GGA optimized geometry; energy relative to the elements, uncorrected = -30.45 eV per formula unit; Fermi-level density of states = 6.78 states/eV/cell; crystal system = monoclinic; calculated total energy = -96.2 eV per cell; size of the total moment = 0.0 μB/f.u.
1.0
-3.527 1.099 -7.052
7.891 -1.218 0.351
-1.232 -6.781 4.047
S Dy Pr
8 4 3
Cartesian
5.015 -6.060 3.258
3.268 -5.528 -0.251
-1.883 -0.840 -5.912
5.649 -2.585 1.259
-0.137 -1.372 -2.403
-0.769 -4.874 -0.381
1.009 -5.414 3.139
3.901 -2.026 -2.273
-0.616 -3.390 2.023
3.946 -0.609 0.175
0.000 0.000 0.000
-1.764 0.550 -3.526
2.182 -0.060 -3.350
1.566 -3.450 -1.327
-2.380 -2.841 -1.502


9.
CaTmCdIn PBE-GGA optimized geometry; ΔE_f = -0.40 eV per atom; Fermi-level density of states = 1.92 states/eV/cell; crystal system = cubic; calculated total energy = -11.7 eV per cell; size of the total moment = 0.0 μB/f.u.
1.0
5.321 0.000 0.000
2.661 4.608 0.000
2.661 1.536 4.345
Tm Cd Ca In
1 1 1 1
Cartesian
0.000 0.000 0.000
7.982 4.608 3.259
5.321 3.072 2.172
2.661 1.536 1.086


10.
Ac6TeAs5 PBE-GGA optimized geometry; energy relative to the elements, uncorrected = -18.29 eV per formula unit; Fermi-level density of states = 2.91 states/eV/cell; crystal system = monoclinic; calculated total energy = -69.3 eV per cell; size of the total moment = 0.0 μB/f.u.
1.0
-6.847 -0.942 3.897
0.917 2.256 7.555
-1.383 7.527 2.090
As Ac Te
5 6 1
Cartesian
-2.965 0.657 5.726
-0.309 6.516 6.432
-4.205 4.967 4.589
-3.107 3.873 8.953
-0.157 3.267 3.214
-5.490 2.104 4.269
-1.822 6.737 9.273
-1.717 3.649 6.012
-4.405 0.968 8.480
-1.525 0.345 2.973
-5.596 5.191 7.530
0.000 0.000 0.000


11.
LiPa2RhO8 PBE-GGA optimized geometry; energy relative to the elements, uncorrected = -24.71 eV per formula unit; Fermi-level density of states = 5.67 states/eV/cell; crystal system = trigonal; calculated total energy = -92.6 eV per cell; size of the total moment = 1.8 μB/f.u.
1.0
5.390 0.000 0.000
-2.695 4.668 0.000
0.000 0.000 6.585
O Rh Pa Li
8 1 2 1
Cartesian
1.264 3.842 1.031
1.431 0.826 5.554
2.695 1.556 2.750
3.959 0.826 5.554
0.000 1.652 1.031
-1.264 3.842 1.031
2.695 3.016 5.554
0.000 3.112 3.835
0.000 0.000 0.000
0.000 3.112 5.688
2.695 1.556 0.897
0.000 0.000 3.293


12.
P7Au PBE-GGA optimized geometry; ΔE_f = 0.89 eV per atom; Fermi-level density of states = 6.22 states/eV/cell; crystal system = cubic; calculated total energy = -34.0 eV per cell; size of the total moment = 0.0 μB/f.u.
1.0
2.924 -4.545 -1.516
-2.686 -4.707 -1.460
-0.005 -1.683 -5.355
P Au
7 1
Cartesian
0.119 -4.626 -1.488
1.462 -2.272 -0.758
1.459 -3.114 -3.435
-1.343 -2.353 -0.730
-0.003 -0.841 -2.677
0.116 -5.467 -4.165
-1.346 -3.195 -3.407
0.000 0.000 0.000